This record from Alexandria describes crystalline CuSnPtO6 at its relaxed geometry. The functional is GGA-PBE.

Values from the calculation:
N(E_F)	6.9	states/eV/f.u.
DFT total energy	-5.516	eV/atom
formation energy without anion corrections	-0.639	eV per atom

CIF file:
```
data_CuSnPtO6
_symmetry_space_group_name_H-M 'P -3 1 c'
_symmetry_Int_Tables_number 163
_symmetry_space_group_name_Hall '-P 3 2c'
_cell_length_a 5.2740
_cell_length_b 5.2740
_cell_length_c 8.5639
_cell_angle_alpha 90.00
_cell_angle_beta 90.00
_cell_angle_gamma 120.00
loop_
_atom_site_label
_atom_site_type_symbol
_atom_site_fract_x
_atom_site_fract_y
_atom_site_fract_z
Cu1 Cu 0.0000 0.0000 0.0000
Sn1 Sn 0.3333 0.6667 0.2500
Pt1 Pt 0.3333 0.6667 0.7500
O1 O 0.0136 0.3520 0.6228
```

---

This record from Alexandria describes crystalline BeAlGeAu2 at its relaxed geometry. The functional is GGA-PBE.

Values from the calculation:
N(E_F)	2.1	states/eV/f.u.
DFT total energy	-3.247	eV/atom
energy of formation from the pure elements	2.4	eV/f.u.

CIF file:
```
data_BeAlGeAu2
_symmetry_space_group_name_H-M 'P 4/m m m'
_symmetry_Int_Tables_number 123
_symmetry_space_group_name_Hall '-P 4 2'
_cell_length_a 5.057
_cell_length_b 5.057
_cell_length_c 4.142
_cell_angle_alpha 90.00
_cell_angle_beta 90.00
_cell_angle_gamma 90.00
loop_
_atom_site_label
_atom_site_type_symbol
_atom_site_fract_x
_atom_site_fract_y
_atom_site_fract_z
Be1 Be 0.000 0.000 0.000
Al1 Al 0.500 0.500 0.000
Ge1 Ge 0.000 0.000 0.500
Au1 Au 0.000 0.500 0.500
```

---

This record from Alexandria describes crystalline YUTe2O at its relaxed geometry. The functional is GGA-PBE.

Values from the calculation:
N(E_F)	8.1	states/eV/f.u.
DFT total energy	-7.570	eV/atom
formation energy without anion corrections	-1.771	eV per atom

CIF file:
```
data_YUTe2O
_symmetry_space_group_name_H-M 'P 4/n m m'
_symmetry_Int_Tables_number 129
_cell_length_a 4.162
_cell_length_b 4.162
_cell_length_c 14.572
_cell_angle_alpha 90.00
_cell_angle_beta 90.00
_cell_angle_gamma 90.00
loop_
_symmetry_equiv_pos_as_xyz
'x,y,z'
'-x,-y,-z'
'-y+1/2,x,z'
'y+1/2,-x,-z'
'-x+1/2,-y+1/2,z'
'x+1/2,y+1/2,-z'
'y,-x+1/2,z'
'-y,x+1/2,-z'
'x+1/2,-y,-z'
'-x+1/2,y,z'
'-y,-x,-z'
'y,x,z'
'-x,y+1/2,-z'
'x,-y+1/2,z'
'y+1/2,x+1/2,-z'
'-y+1/2,-x+1/2,z'
loop_
_atom_site_label
_atom_site_type_symbol
_atom_site_fract_x
_atom_site_fract_y
_atom_site_fract_z
Y1 Y 0.250 0.250 0.092
U1 U 0.250 0.250 0.575
Te1 Te 0.250 0.250 0.312
Te2 Te 0.250 0.250 0.876
O1 O 0.250 0.750 0.500
```

---

This record from Alexandria describes crystalline CrFe2Mo at its relaxed geometry. The functional is GGA-PBE.

Values from the calculation:
N(E_F)	2.5	states/eV/f.u.
DFT total energy	-9.249	eV/atom
energy of formation from the pure elements	0.4	eV/f.u.

CIF file:
```
data_CrFe2Mo
_symmetry_space_group_name_H-M 'C m m 2'
_symmetry_Int_Tables_number 35
_cell_length_a 3.023
_cell_length_b 4.133
_cell_length_c 8.160
_cell_angle_alpha 90.00
_cell_angle_beta 90.00
_cell_angle_gamma 90.00
loop_
_symmetry_equiv_pos_as_xyz
'x,y,z'
'-x,-y,z'
'-x,y,z'
'x,-y,z'
'x+1/2,y+1/2,z'
'-x+1/2,-y+1/2,z'
'-x+1/2,y+1/2,z'
'x+1/2,-y+1/2,z'
loop_
_atom_site_label
_atom_site_type_symbol
_atom_site_fract_x
_atom_site_fract_y
_atom_site_fract_z
Cr1 Cr 0.000 0.000 0.000
Fe1 Fe 0.000 0.000 0.527
Fe2 Fe 0.000 0.500 0.765
Mo1 Mo 0.000 0.500 0.263
```

---

This record from Alexandria describes crystalline Y2Pd2Pt at its relaxed geometry. The functional is GGA-PBE.

Values from the calculation:
N(E_F)	4.2	states/eV/f.u.
DFT total energy	-6.643	eV/atom
energy of formation from the pure elements	-3.9	eV/f.u.

CIF file:
```
data_Y2Pd2Pt
_symmetry_space_group_name_H-M 'I 4/m m m'
_symmetry_Int_Tables_number 139
_symmetry_space_group_name_Hall '-I 4 2'
_cell_length_a 3.729
_cell_length_b 3.729
_cell_length_c 15.622
_cell_angle_alpha 90.00
_cell_angle_beta 90.00
_cell_angle_gamma 90.00
loop_
_atom_site_label
_atom_site_type_symbol
_atom_site_fract_x
_atom_site_fract_y
_atom_site_fract_z
Y1 Y 0.000 0.000 0.105
Pd1 Pd 0.000 0.500 0.250
Pt1 Pt 0.000 0.000 0.500
```

---

This record from Alexandria describes crystalline CaAg3Sb2 at its relaxed geometry. The functional is GGA-PBE.

Values from the calculation:
N(E_F)	1.2	states/eV/f.u.
DFT total energy	-3.410	eV/atom
formation energy without anion corrections	-0.277	eV per atom

CIF file:
```
data_CaAg3Sb2
_symmetry_space_group_name_H-M 'C 1 2/m 1'
_symmetry_Int_Tables_number 12
_cell_length_a 16.707
_cell_length_b 4.651
_cell_length_c 8.682
_cell_angle_alpha 90.00
_cell_angle_beta 121.27
_cell_angle_gamma 90.00
loop_
_symmetry_equiv_pos_as_xyz
'x,y,z'
'-x,-y,-z'
'-x,y,-z'
'x,-y,z'
'x+1/2,y+1/2,z'
'-x+1/2,-y+1/2,-z'
'-x+1/2,y+1/2,-z'
'x+1/2,-y+1/2,z'
loop_
_atom_site_label
_atom_site_type_symbol
_atom_site_fract_x
_atom_site_fract_y
_atom_site_fract_z
Ca1 Ca 0.138 0.000 0.138
Ag1 Ag 0.001 0.000 0.342
Ag2 Ag 0.188 0.500 0.462
Ag3 Ag 0.188 0.500 0.914
Sb1 Sb 0.000 0.500 0.167
Sb2 Sb 0.185 0.000 0.686
```

---

This record from Alexandria describes crystalline HgPtSe2Br at its relaxed geometry. The functional is GGA-PBE.

Values from the calculation:
N(E_F)	6.3	states/eV/f.u.
DFT total energy	-2.718	eV/atom
formation energy without anion corrections	0.279	eV per atom

CIF file:
```
data_HgPtSe2Br
_symmetry_space_group_name_H-M 'P 4/m m m'
_symmetry_Int_Tables_number 123
_symmetry_space_group_name_Hall '-P 4 2'
_cell_length_a 5.004
_cell_length_b 5.004
_cell_length_c 5.235
_cell_angle_alpha 90.00
_cell_angle_beta 90.00
_cell_angle_gamma 90.00
loop_
_atom_site_label
_atom_site_type_symbol
_atom_site_fract_x
_atom_site_fract_y
_atom_site_fract_z
Hg1 Hg 0.000 0.000 0.000
Pt1 Pt 0.500 0.500 0.500
Se1 Se 0.000 0.500 0.500
Br1 Br 0.500 0.500 0.000
```

---

This record from Alexandria describes crystalline Pr5Nd12Ti3 at its relaxed geometry. The functional is GGA-PBE.

Values from the calculation:
N(E_F)	31.0	states/eV/f.u.
DFT total energy	-4.297	eV/atom
energy of formation from the pure elements	18.9	eV/f.u.

CIF file:
```
data_Pr5Nd12Ti3
_symmetry_space_group_name_H-M 'I a -3 d'
_symmetry_Int_Tables_number 230
_symmetry_space_group_name_Hall '-I 4bd 2c 3'
_cell_length_a 18.170
_cell_length_b 18.170
_cell_length_c 18.170
_cell_angle_alpha 90.00
_cell_angle_beta 90.00
_cell_angle_gamma 90.00
loop_
_atom_site_label
_atom_site_type_symbol
_atom_site_fract_x
_atom_site_fract_y
_atom_site_fract_z
Pr1 Pr 0.000 0.000 0.000
Pr2 Pr 0.000 0.250 0.375
Nd1 Nd 0.013 0.093 0.649
Ti1 Ti 0.000 0.250 0.125
```

---

- Which value of N(E_F) does entry 7 give?
  6.3 states/eV/f.u.